[1]
Compound: Pr3SiN
Source: Alexandria
Functional: PBE-GGA
Structure: relaxed

a = 6.285 Å, b = 8.910 Å, c = 9.388 Å
α = 111.95°, β = 90.00°, γ = 90.00°
Fractional positions:
Pr: 0.080 0.647 0.932
Pr: 0.920 0.353 0.068
Pr: 0.580 0.853 0.068
Pr: 0.420 0.147 0.932
Pr: 0.589 0.448 0.808
Pr: 0.411 0.552 0.192
Pr: 0.089 0.052 0.192
Pr: 0.911 0.948 0.808
Pr: 0.123 0.234 0.628
Pr: 0.877 0.766 0.372
Pr: 0.623 0.266 0.372
Pr: 0.377 0.734 0.628
Si: 0.878 0.579 0.607
Si: 0.122 0.421 0.393
Si: 0.378 0.921 0.393
Si: 0.622 0.079 0.607
N: 0.248 0.402 0.927
N: 0.752 0.598 0.073
N: 0.748 0.098 0.073
N: 0.252 0.902 0.927

Calculated values
E (eV per atom): -6.31
Crystal system: monoclinic
Space group: P2_1/c (14)
Raw formation energy (eV per formula unit): -3.4
Magnetization (Bohr magnetons per cell): 0.000

[2]
Compound: Pr6Si2N
Source: Alexandria
Functional: PBE-GGA
Structure: relaxed

a = 6.516 Å, b = 8.038 Å, c = 9.526 Å
α = 90.00°, β = 87.73°, γ = 90.00°
Fractional positions:
Pr: 0.119 0.036 0.246
Pr: 0.138 0.290 0.556
Pr: 0.171 0.341 0.947
Pr: 0.329 0.841 0.553
Pr: 0.362 0.790 0.944
Pr: 0.381 0.536 0.254
Pr: 0.881 0.964 0.754
Pr: 0.862 0.710 0.444
Pr: 0.829 0.659 0.053
Pr: 0.671 0.159 0.447
Pr: 0.638 0.210 0.056
Pr: 0.619 0.464 0.746
Si: 0.061 0.612 0.743
Si: 0.439 0.112 0.757
Si: 0.561 0.888 0.243
Si: 0.939 0.388 0.257
N: 0.500 0.500 0.000
N: 0.000 0.000 0.500

Calculated values
E (eV per atom): -5.92
Crystal system: monoclinic
Space group: P2_1/c (14)
Raw formation energy (eV per formula unit): -5.4
Magnetization (Bohr magnetons per cell): 0.001
Excess energy over the best structure of this formula in the dataset (kJ per mole of atoms): 0.00

[3]
Compound: PrSiN2
Source: Alexandria
Functional: PBE-GGA
Structure: relaxed

a = 4.462 Å, b = 5.716 Å, c = 5.716 Å
α = 90.01°, β = 89.91°, γ = 90.01°
Fractional positions:
Pr: 0.222 0.737 0.824
Pr: 0.722 0.237 0.324
Si: 0.472 0.237 0.824
Si: 0.972 0.237 0.824
N: 0.221 0.301 0.050
N: 0.222 0.174 0.598
N: 0.722 0.463 0.761
N: 0.722 0.011 0.887

Calculated values
E (eV per atom): -7.42
Crystal system: triclinic
Space group: P-1 (2)
Raw formation energy (eV per formula unit): -2.8
Magnetization (Bohr magnetons per cell): 0.000

[4]
Compound: Pr2SiN3
Source: Alexandria
Functional: PBE-GGA
Structure: relaxed

a = 5.439 Å, b = 6.097 Å, c = 11.906 Å
α = 90.00°, β = 90.01°, γ = 63.56°
Fractional positions:
Pr: 0.561 0.378 0.359
Pr: 0.061 0.378 0.141
Pr: 0.439 0.622 0.641
Pr: 0.939 0.622 0.859
Pr: 0.361 0.778 0.075
Pr: 0.861 0.778 0.425
Pr: 0.639 0.222 0.925
Pr: 0.139 0.222 0.575
Si: 0.740 0.020 0.164
Si: 0.240 0.020 0.336
Si: 0.260 0.980 0.836
Si: 0.760 0.980 0.664
N: 0.517 0.967 0.250
N: 0.483 0.033 0.750
N: 0.580 0.340 0.133
N: 0.080 0.340 0.367
N: 0.420 0.660 0.867
N: 0.920 0.660 0.633
N: 0.654 0.192 0.553
N: 0.154 0.192 0.947
N: 0.346 0.808 0.447
N: 0.846 0.808 0.053
N: 0.017 0.966 0.250
N: 0.983 0.034 0.750

Calculated values
E (eV per atom): -7.90
Crystal system: orthorhombic
Space group: Cmce (64)
Raw formation energy (eV per formula unit): -7.5
Magnetization (Bohr magnetons per cell): 0.000
Excess energy over the best structure of this formula in the dataset (kJ per mole of atoms): 0.00

[5]
Compound: Pr6SiN4
Source: Alexandria
Functional: PBE-GGA
Structure: relaxed

a = 3.769 Å, b = 6.483 Å, c = 19.408 Å
α = 90.00°, β = 90.00°, γ = 106.90°
Last column: magnetic moment on the atom in μB.
Fractional positions:
Pr: 0.500 0.000 0.000  0.01
Pr: 0.500 0.000 0.500  0.01
Pr: 0.042 0.085 0.350  0.04
Pr: 0.958 0.915 0.650  0.04
Pr: 0.958 0.915 0.850  0.04
Pr: 0.042 0.085 0.150  0.04
Pr: 0.778 0.555 0.422  0.01
Pr: 0.222 0.445 0.578  0.01
Pr: 0.222 0.445 0.922  0.01
Pr: 0.778 0.555 0.078  0.01
Pr: 0.348 0.696 0.250  0.12
Pr: 0.652 0.304 0.750  0.12
Si: 0.666 0.332 0.250  0.00
Si: 0.334 0.668 0.750  0.00
N: 0.861 0.723 0.540  0.00
N: 0.414 0.828 0.123  0.00
N: 0.139 0.277 0.460  0.00
N: 0.586 0.172 0.877  0.00
N: 0.861 0.723 0.960  0.00
N: 0.139 0.277 0.040  0.00
N: 0.586 0.172 0.623  0.00
N: 0.414 0.828 0.377  0.00

Calculated values
E (eV per atom): -7.21
Crystal system: orthorhombic
Space group: Cmcm (63)
Raw formation energy (eV per formula unit): -11.9
Magnetization (Bohr magnetons per cell): 1.083

[6]
Compound: Pr3Si6N11
Source: Alexandria
Functional: PBE-GGA
Structure: relaxed

a = 10.178 Å, b = 10.178 Å, c = 4.899 Å
α = 90.00°, β = 90.00°, γ = 90.00°
Fractional positions:
Pr: 0.500 0.500 0.352
Pr: 0.000 0.000 0.352
Pr: 0.682 0.182 0.367
Pr: 0.182 0.318 0.367
Pr: 0.818 0.682 0.367
Pr: 0.318 0.818 0.367
Si: 0.117 0.617 0.406
Si: 0.617 0.883 0.406
Si: 0.383 0.117 0.406
Si: 0.883 0.383 0.406
Si: 0.579 0.709 0.895
Si: 0.421 0.291 0.895
Si: 0.291 0.579 0.895
Si: 0.709 0.421 0.895
Si: 0.791 0.921 0.895
Si: 0.921 0.209 0.895
Si: 0.079 0.791 0.895
Si: 0.209 0.079 0.895
N: 0.500 0.000 0.431
N: 0.000 0.500 0.431
N: 0.421 0.679 0.005
N: 0.579 0.321 0.005
N: 0.321 0.421 0.005
N: 0.679 0.579 0.005
N: 0.821 0.079 0.005
N: 0.079 0.179 0.005
N: 0.921 0.821 0.005
N: 0.179 0.921 0.005
N: 0.846 0.346 0.060
N: 0.346 0.154 0.060
N: 0.654 0.846 0.060
N: 0.154 0.654 0.060
N: 0.230 0.076 0.542
N: 0.076 0.770 0.542
N: 0.924 0.230 0.542
N: 0.770 0.924 0.542
N: 0.730 0.424 0.542
N: 0.270 0.576 0.542
N: 0.424 0.270 0.542
N: 0.576 0.730 0.542

Calculated values
E (eV per atom): -8.21
Crystal system: tetragonal
Space group: P4bm (100)
Raw formation energy (eV per formula unit): -25.7
Magnetization (Bohr magnetons per cell): 0.000

[7]
Compound: PrSm2SiN4
Source: Alexandria
Functional: PBE-GGA
Structure: relaxed

a = 3.458 Å, b = 6.133 Å, c = 11.877 Å
α = 90.00°, β = 90.00°, γ = 106.38°
Fractional positions:
Pr: 0.089 0.178 0.750
Pr: 0.911 0.822 0.250
Sm: 0.368 0.736 0.542
Sm: 0.632 0.264 0.042
Sm: 0.632 0.264 0.458
Sm: 0.368 0.736 0.958
Si: 0.820 0.640 0.750
Si: 0.180 0.360 0.250
N: 0.269 0.538 0.134
N: 0.731 0.462 0.634
N: 0.731 0.462 0.866
N: 0.269 0.538 0.366
N: 0.000 0.000 0.500
N: 0.000 0.000 0.000
N: 0.402 0.805 0.750
N: 0.598 0.195 0.250

Calculated values
E (eV per atom): -7.81
Crystal system: orthorhombic
Space group: Cmcm (63)
Raw formation energy (eV per formula unit): -9.6
Magnetization (Bohr magnetons per cell): 0.000

[8]
Compound: Pr2SmSiN4
Source: Alexandria
Functional: PBE-GGA
Structure: relaxed

a = 3.471 Å, b = 6.121 Å, c = 12.286 Å
α = 90.00°, β = 90.00°, γ = 106.47°
Fractional positions:
Pr: 0.367 0.733 0.543
Pr: 0.633 0.267 0.043
Pr: 0.633 0.267 0.457
Pr: 0.367 0.733 0.957
Sm: 0.097 0.194 0.750
Sm: 0.903 0.806 0.250
Si: 0.818 0.636 0.750
Si: 0.182 0.364 0.250
N: 0.277 0.555 0.141
N: 0.723 0.445 0.641
N: 0.723 0.445 0.859
N: 0.277 0.555 0.359
N: 0.000 0.000 0.500
N: 0.000 0.000 0.000
N: 0.403 0.806 0.750
N: 0.597 0.194 0.250

Calculated values
E (eV per atom): -7.68
Crystal system: orthorhombic
Space group: Cmcm (63)
Raw formation energy (eV per formula unit): -8.4
Magnetization (Bohr magnetons per cell): 0.000

[9]
Compound: Pr4SiSnN
Source: Alexandria
Functional: PBE-GGA
Structure: relaxed

a = 6.923 Å, b = 6.933 Å, c = 8.844 Å
α = 90.00°, β = 113.04°, γ = 90.00°
Fractional positions:
Pr: 0.921 0.250 0.843
Pr: 0.412 0.750 0.825
Pr: 0.079 0.750 0.157
Pr: 0.588 0.250 0.175
Pr: 0.500 0.500 0.500
Pr: 0.000 0.000 0.500
Pr: 0.500 0.000 0.500
Pr: 0.000 0.500 0.500
Si: 0.116 0.250 0.232
Si: 0.884 0.750 0.768
Sn: 0.607 0.750 0.215
Sn: 0.393 0.250 0.785
N: 0.245 0.750 0.489
N: 0.755 0.250 0.511

Calculated values
E (eV per atom): -6.02
Crystal system: orthorhombic
Space group: Cmcm (63)
Raw formation energy (eV per formula unit): -5.3
Magnetization (Bohr magnetons per cell): 0.000

[10]
Compound: Tb2PrSiN4
Source: Alexandria
Functional: PBE-GGA
Structure: relaxed

a = 3.407 Å, b = 6.084 Å, c = 11.610 Å
α = 90.00°, β = 90.00°, γ = 106.26°
Fractional positions:
Tb: 0.368 0.737 0.542
Tb: 0.632 0.263 0.042
Tb: 0.632 0.263 0.458
Tb: 0.368 0.737 0.958
Pr: 0.087 0.174 0.750
Pr: 0.913 0.826 0.250
Si: 0.821 0.643 0.750
Si: 0.179 0.357 0.250
N: 0.266 0.531 0.130
N: 0.734 0.469 0.630
N: 0.734 0.469 0.870
N: 0.266 0.531 0.370
N: 0.000 0.000 0.500
N: 0.000 0.000 0.000
N: 0.403 0.806 0.750
N: 0.597 0.194 0.250

Calculated values
E (eV per atom): -7.91
Crystal system: orthorhombic
Space group: Cmcm (63)
Raw formation energy (eV per formula unit): -10.5
Magnetization (Bohr magnetons per cell): 0.000

[11]
Compound: PrSiTc2N
Source: Alexandria
Functional: PBE-GGA
Structure: relaxed

a = 3.900 Å, b = 5.926 Å, c = 7.338 Å
α = 90.00°, β = 90.00°, γ = 109.21°
Fractional positions:
Pr: 0.454 0.909 0.750
Pr: 0.546 0.091 0.250
Si: 0.732 0.464 0.750
Si: 0.268 0.536 0.250
Tc: 0.168 0.337 0.940
Tc: 0.832 0.663 0.060
Tc: 0.168 0.337 0.560
Tc: 0.832 0.663 0.440
N: 0.000 0.000 0.000
N: 0.000 0.000 0.500

Calculated values
E (eV per atom): -8.56
Crystal system: orthorhombic
Space group: Cmcm (63)
Raw formation energy (eV per formula unit): -3.6
Magnetization (Bohr magnetons per cell): 0.000

[12]
Compound: PrY2SiN4
Source: Alexandria
Functional: PBE-GGA
Structure: relaxed

a = 3.395 Å, b = 6.072 Å, c = 11.568 Å
α = 90.00°, β = 90.00°, γ = 106.24°
Fractional positions:
Pr: 0.087 0.173 0.750
Pr: 0.913 0.827 0.250
Y: 0.368 0.737 0.542
Y: 0.632 0.263 0.042
Y: 0.632 0.263 0.458
Y: 0.368 0.737 0.958
Si: 0.822 0.643 0.750
Si: 0.178 0.357 0.250
N: 0.265 0.529 0.129
N: 0.735 0.471 0.629
N: 0.735 0.471 0.871
N: 0.265 0.529 0.371
N: 0.000 0.000 0.500
N: 0.000 0.000 0.000
N: 0.403 0.806 0.750
N: 0.597 0.194 0.250

Calculated values
E (eV per atom): -8.38
Crystal system: orthorhombic
Space group: Cmcm (63)
Raw formation energy (eV per formula unit): -10.6
Magnetization (Bohr magnetons per cell): 0.000